[1]
Entry from the Open Quantum Materials Database: a relaxed structure of Dy3Sn3IrPd2 (GGA-PBE).

Properties
* DFT total energy: -5.923 eV/atom

Lattice parameters (Å, degrees): 7.5298 7.5298 3.9843 90.00 90.00 120.00
With the nearest neighbours (Å) after each atom.
Fractional coordinates of all 9 atoms:
1 Dy 0.0000 0.4023 0.0000  1 Ir 3.03, 4 Pd 3.04, 6 Sn 3.25-3.32
2 Dy 0.5977 0.5977 0.0000  1 Ir 3.03, 4 Pd 3.04, 6 Sn 3.25-3.32
3 Dy 0.4023 0.0000 0.0000  1 Ir 3.03, 4 Pd 3.04, 6 Sn 3.25-3.32
4 Pd 0.3333 0.6667 0.5000  3 Sn 2.84, 6 Dy 3.04
5 Pd 0.6667 0.3333 0.5000  3 Sn 2.84, 6 Dy 3.04
6 Sn 0.0000 0.7428 0.5000  2 Ir 2.78, 2 Pd 2.84
7 Sn 0.7428 0.0000 0.5000  2 Ir 2.78, 2 Pd 2.84
8 Sn 0.2572 0.2572 0.5000  2 Ir 2.78, 2 Pd 2.84
9 Ir 0.0000 0.0000 0.0000  6 Sn 2.78, 3 Dy 3.03



[2]
Entry from the Open Quantum Materials Database: a relaxed structure of Dy2Sn2Ir3Pd (GGA-PBE).

Properties
* DFT total energy: -6.776 eV/atom

Lattice parameters (Å, degrees): 4.5223 4.5223 9.0365 90.00 90.00 120.00
With the nearest neighbours (Å) after each atom.
Fractional coordinates of all 8 atoms:
1 Sn 0.3333 0.6667 0.5037  6 Ir 2.72-2.77
2 Sn 0.3333 0.6667 0.0078  3 Ir 2.73, 3 Pd 2.76
3 Ir 0.0000 0.0000 0.5896  3 Sn 2.72, 1 Pd 2.87, 4 Dy 2.95-3.03
4 Ir 0.6667 0.3333 0.0944  3 Sn 2.73, 1 Ir 2.77, 3 Dy 2.98
5 Ir 0.6667 0.3333 0.4008  1 Ir 2.77, 3 Sn 2.77, 4 Dy 2.93-3.08
6 Dy 0.6667 0.3333 0.7420  5 Ir 2.95-3.18, 3 Pd 3.01
7 Dy 0.0000 0.0000 0.2542  7 Ir 2.93-3.03, 1 Pd 3.13
8 Pd 0.0000 0.0000 0.9075  3 Sn 2.76, 1 Ir 2.87, 3 Dy 3.01



[3]
Entry from the Open Quantum Materials Database: a relaxed structure of TbDy2Sn3Ir2Pd (GGA-PBE).

Properties
* DFT total energy: -6.281 eV/atom

Lattice parameters (Å, degrees): 3.9276 7.5528 7.5528 120.05 90.00 90.00
With the nearest neighbours (Å) after each atom.
Fractional coordinates of all 9 atoms:
1 Sn 0.5000 0.7366 0.7366  2 Pd 2.79, 2 Ir 2.82
2 Sn 0.5000 0.9997 0.2636  2 Pd 2.80, 2 Ir 2.81-2.82
3 Sn 0.5000 0.2636 0.9997  2 Pd 2.80, 2 Ir 2.81-2.82
4 Ir 0.5000 0.6673 0.3331  3 Sn 2.81-2.82, 4 Dy 3.01, 2 Tb 3.02
5 Ir 0.5000 0.3331 0.6673  3 Sn 2.81-2.82, 4 Dy 3.01, 2 Tb 3.02
6 Dy 0.0000 0.5898 0.0001  4 Ir 3.01, 1 Pd 3.10, 6 Sn 3.15-3.35
7 Dy 0.0000 0.0001 0.5898  4 Ir 3.01, 1 Pd 3.10, 6 Sn 3.15-3.35
8 Tb 0.0000 0.4103 0.4103  4 Ir 3.02, 1 Pd 3.10, 6 Sn 3.15-3.36
9 Pd 0.0000 0.9995 0.9995  6 Sn 2.79-2.80, 2 Dy 3.10, 1 Tb 3.10